# LiVBO4

LiVBO4 after structural relaxation (GGA+U, Alexandria).

## Properties
distance to the lowest polymorph of the same formula	0.050	eV per atom
M_tot	0.14	μB per atom
raw total energy	-50.9	eV per formula unit
crystal system	orthorhombic

a = 4.3802 Å, b = 6.0999 Å, c = 10.0409 Å
α = 90.00°, β = 90.00°, γ = 90.00°
Closest atoms and distances in Å follow each position.
Fractional positions:
O  0.7293  0.0501  0.3578  1 B 1.48
O  0.2293  0.5501  0.1422  1 B 1.48
V  0.0000  0.5000  0.5000  6 O 1.88-2.05
O  0.2293  0.9499  0.1422  1 B 1.48
Li  0.9809  0.7500  0.7762  5 O 2.01-2.21
O  0.7507  0.2500  0.0620  1 B 1.60
O  0.7293  0.4499  0.3578  1 B 1.48
V  0.0000  0.0000  0.5000  6 O 1.88-2.05
Li  0.0191  0.2500  0.2238  5 O 2.01-2.21
Li  0.5191  0.7500  0.2762  5 O 2.01-2.21
O  0.2348  0.2500  0.9263  1 B 1.44
O  0.2493  0.7500  0.9380  1 B 1.60
V  0.5000  0.5000  0.0000  6 O 1.88-2.05
B  0.4060  0.7500  0.5818  4 O 1.44-1.60
O  0.2507  0.7500  0.4380  1 B 1.60
B  0.9060  0.2500  0.9182  4 O 1.44-1.60
O  0.7652  0.7500  0.0737  1 B 1.44
O  0.2652  0.2500  0.4263  1 B 1.44
Li  0.4809  0.2500  0.7238  5 O 2.01-2.21
B  0.0940  0.7500  0.0818  4 O 1.44-1.60
O  0.7707  0.0501  0.8578  1 B 1.48
O  0.7493  0.2500  0.5620  1 B 1.60
V  0.5000  0.0000  0.0000  6 O 1.88-2.05
O  0.2707  0.5501  0.6422  1 B 1.48
O  0.7348  0.7500  0.5737  1 B 1.44
O  0.7707  0.4499  0.8578  1 B 1.48
O  0.2707  0.9499  0.6422  1 B 1.48
B  0.5940  0.2500  0.4182  4 O 1.44-1.60